A plane-wave DFT calculation with PBE+U was carried out for an optimized crystal structure of RbTl2V3F12.

Lattice parameters (Å, degrees): 7.6058 7.6058 7.6058 60.54 60.54 60.54
Site moments in Bohr magnetons follow the coordinates.
Sites, in units of the cell vectors:
F: 0.4502 0.8718 0.8718  0.00
F: 0.8718 0.8718 0.4502  0.00
F: 0.2748 0.2748 0.9014  0.00
F: 0.1282 0.5498 0.1282  0.00
Tl: 0.3673 0.3673 0.3673  0.00
F: 0.9014 0.2748 0.2748  0.00
F: 0.5498 0.1282 0.1282  0.00
V: 0.0000 0.0000 0.5000  1.91
F: 0.8718 0.4502 0.8718  0.00
V: 0.0000 0.5000 0.0000  1.91
Tl: 0.6327 0.6327 0.6327  0.00
Rb: 0.0000 0.0000 0.0000  0.00
F: 0.7252 0.7252 0.0986  0.00
F: 0.1282 0.1282 0.5498  0.00
F: 0.2748 0.9014 0.2748  0.00
F: 0.7252 0.0986 0.7252  0.00
V: 0.5000 0.0000 0.0000  1.91
F: 0.0986 0.7252 0.7252  0.00

Raw total energy   -98.857 eV/f.u.